[1]
Density functional theory data (PBE) for a geometry-optimized SrBeSbIr structure.

Geometry as POSCAR:
```
SrBeSbIr
1.0
6.748 0.000 0.000
0.000 6.748 0.000
0.000 0.000 6.748
Sr Be Sb Ir
4 4 4 4
Direct
0.000 0.000 0.000 Sr
0.000 0.500 0.500 Sr
0.500 0.000 0.500 Sr
0.500 0.500 0.000 Sr
0.250 0.250 0.750 Be
0.250 0.750 0.250 Be
0.750 0.250 0.250 Be
0.750 0.750 0.750 Be
0.250 0.250 0.250 Sb
0.250 0.750 0.750 Sb
0.750 0.250 0.750 Sb
0.750 0.750 0.250 Sb
0.000 0.000 0.500 Ir
0.000 0.500 0.000 Ir
0.500 0.000 0.000 Ir
0.500 0.500 0.500 Ir
```

Calculated volume in Å³ per cell: 307.3
Energy above the most stable polymorph in this dataset in meV per atom: 0.0
Raw total energy in eV/atom: -4.472

***

[2]
Density functional theory data (PBE) for a geometry-optimized BeZnSbIr structure.

Geometry as POSCAR:
```
BeZnSbIr
1.0
6.286 0.000 0.000
0.000 6.286 0.000
0.000 0.000 6.286
Be Zn Sb Ir
4 4 4 4
Direct
0.000 0.000 0.000 Be
0.000 0.500 0.500 Be
0.500 0.000 0.500 Be
0.500 0.500 0.000 Be
0.000 0.000 0.500 Zn
0.000 0.500 0.000 Zn
0.500 0.000 0.000 Zn
0.500 0.500 0.500 Zn
0.250 0.250 0.250 Sb
0.250 0.750 0.750 Sb
0.750 0.250 0.750 Sb
0.750 0.750 0.250 Sb
0.250 0.250 0.750 Ir
0.250 0.750 0.250 Ir
0.750 0.250 0.250 Ir
0.750 0.750 0.750 Ir
```

Calculated volume in Å³ per cell: 248.4
Energy above the most stable polymorph in this dataset in meV per atom: 63.3
Raw total energy in eV/atom: -4.161

***

[3]
Density functional theory data (PBE) for a geometry-optimized BeZnSbIr structure.

Geometry as POSCAR:
```
BeZnSbIr
1.0
6.291 0.000 0.000
0.000 6.291 0.000
0.000 0.000 6.291
Be Zn Sb Ir
4 4 4 4
Direct
0.000 0.000 0.000 Be
0.000 0.500 0.500 Be
0.500 0.000 0.500 Be
0.500 0.500 0.000 Be
0.250 0.250 0.750 Zn
0.250 0.750 0.250 Zn
0.750 0.250 0.250 Zn
0.750 0.750 0.750 Zn
0.000 0.000 0.500 Sb
0.000 0.500 0.000 Sb
0.500 0.000 0.000 Sb
0.500 0.500 0.500 Sb
0.250 0.250 0.250 Ir
0.250 0.750 0.750 Ir
0.750 0.250 0.750 Ir
0.750 0.750 0.250 Ir
```

Calculated volume in Å³ per cell: 249.0
Energy above the most stable polymorph in this dataset in meV per atom: 0.0
Raw total energy in eV/atom: -4.225

***

[4]
Density functional theory data (PBE) for a geometry-optimized ScBeIr2 structure.

Geometry as POSCAR:
```
ScBeIr2
1.0
6.189 0.000 0.000
0.000 6.189 0.000
0.000 0.000 6.189
Sc Be Ir
4 4 8
Direct
0.000 0.000 0.000 Sc
0.000 0.500 0.500 Sc
0.500 0.000 0.500 Sc
0.500 0.500 0.000 Sc
0.250 0.250 0.750 Be
0.250 0.750 0.250 Be
0.750 0.250 0.250 Be
0.750 0.750 0.750 Be
0.000 0.000 0.500 Ir
0.000 0.500 0.000 Ir
0.250 0.250 0.250 Ir
0.250 0.750 0.750 Ir
0.500 0.000 0.000 Ir
0.500 0.500 0.500 Ir
0.750 0.250 0.750 Ir
0.750 0.750 0.250 Ir
```

Calculated volume in Å³ per cell: 237.1
Raw total energy in eV/atom: -7.141

***

[5]
Density functional theory data (PBE) for a geometry-optimized ScBe2Ir structure.

Geometry as POSCAR:
```
ScBe2Ir
1.0
5.984 0.000 0.000
0.000 5.984 0.000
0.000 0.000 5.984
Sc Be Ir
4 8 4
Direct
0.000 0.000 0.000 Sc
0.000 0.500 0.500 Sc
0.500 0.000 0.500 Sc
0.500 0.500 0.000 Sc
0.000 0.000 0.500 Be
0.000 0.500 0.000 Be
0.250 0.250 0.250 Be
0.250 0.750 0.750 Be
0.500 0.000 0.000 Be
0.500 0.500 0.500 Be
0.750 0.250 0.750 Be
0.750 0.750 0.250 Be
0.250 0.250 0.750 Ir
0.250 0.750 0.250 Ir
0.750 0.250 0.250 Ir
0.750 0.750 0.750 Ir
```

Calculated volume in Å³ per cell: 214.3
Raw total energy in eV/atom: -5.916

***

[6]
Density functional theory data (PBE) for a geometry-optimized Sc2BeIr structure.

Geometry as POSCAR:
```
Sc2BeIr
1.0
6.297 0.000 0.000
0.000 6.297 0.000
0.000 0.000 6.297
Sc Be Ir
8 4 4
Direct
0.000 0.000 0.000 Sc
0.000 0.500 0.500 Sc
0.250 0.250 0.250 Sc
0.250 0.750 0.750 Sc
0.500 0.000 0.500 Sc
0.500 0.500 0.000 Sc
0.750 0.250 0.750 Sc
0.750 0.750 0.250 Sc
0.000 0.000 0.500 Be
0.000 0.500 0.000 Be
0.500 0.000 0.000 Be
0.500 0.500 0.500 Be
0.250 0.250 0.750 Ir
0.250 0.750 0.250 Ir
0.750 0.250 0.250 Ir
0.750 0.750 0.750 Ir
```

Calculated volume in Å³ per cell: 249.7
Raw total energy in eV/atom: -6.722

***

[7]
Density functional theory data (PBE) for a geometry-optimized ScBeSiIr structure.

Geometry as POSCAR:
```
ScBeSiIr
1.0
6.015 0.000 0.000
0.000 6.015 0.000
0.000 0.000 6.015
Sc Be Si Ir
4 4 4 4
Direct
0.000 0.000 0.000 Sc
0.000 0.500 0.500 Sc
0.500 0.000 0.500 Sc
0.500 0.500 0.000 Sc
0.250 0.250 0.250 Be
0.250 0.750 0.750 Be
0.750 0.250 0.750 Be
0.750 0.750 0.250 Be
0.250 0.250 0.750 Si
0.250 0.750 0.250 Si
0.750 0.250 0.250 Si
0.750 0.750 0.750 Si
0.000 0.000 0.500 Ir
0.000 0.500 0.000 Ir
0.500 0.000 0.000 Ir
0.500 0.500 0.500 Ir
```

Calculated volume in Å³ per cell: 217.7
Energy above the most stable polymorph in this dataset in meV per atom: 0.0
Raw total energy in eV/atom: -6.682

***

[8]
Density functional theory data (PBE) for a geometry-optimized ScBeSiIr structure.

Geometry as POSCAR:
```
ScBeSiIr
1.0
6.095 0.000 0.000
0.000 6.095 0.000
0.000 0.000 6.095
Sc Be Si Ir
4 4 4 4
Direct
0.000 0.000 0.000 Sc
0.000 0.500 0.500 Sc
0.500 0.000 0.500 Sc
0.500 0.500 0.000 Sc
0.000 0.000 0.500 Be
0.000 0.500 0.000 Be
0.500 0.000 0.000 Be
0.500 0.500 0.500 Be
0.250 0.250 0.750 Si
0.250 0.750 0.250 Si
0.750 0.250 0.250 Si
0.750 0.750 0.750 Si
0.250 0.250 0.250 Ir
0.250 0.750 0.750 Ir
0.750 0.250 0.750 Ir
0.750 0.750 0.250 Ir
```

Calculated volume in Å³ per cell: 226.4
Energy above the most stable polymorph in this dataset in meV per atom: 281.5
Raw total energy in eV/atom: -6.400

***

[9]
Density functional theory data (PBE) for a geometry-optimized ScBeSiIr structure.

Geometry as POSCAR:
```
ScBeSiIr
1.0
6.052 0.000 0.000
0.000 6.052 0.000
0.000 0.000 6.052
Sc Be Si Ir
4 4 4 4
Direct
0.000 0.000 0.000 Sc
0.000 0.500 0.500 Sc
0.500 0.000 0.500 Sc
0.500 0.500 0.000 Sc
0.250 0.250 0.250 Be
0.250 0.750 0.750 Be
0.750 0.250 0.750 Be
0.750 0.750 0.250 Be
0.000 0.000 0.500 Si
0.000 0.500 0.000 Si
0.500 0.000 0.000 Si
0.500 0.500 0.500 Si
0.250 0.250 0.750 Ir
0.250 0.750 0.250 Ir
0.750 0.250 0.250 Ir
0.750 0.750 0.750 Ir
```

Calculated volume in Å³ per cell: 221.7
Energy above the most stable polymorph in this dataset in meV per atom: 114.1
Raw total energy in eV/atom: -6.567

***

[10]
Density functional theory data (PBE) for a geometry-optimized Be2IrSe structure.

Geometry as POSCAR:
```
Be2IrSe
1.0
3.266 0.000 0.000
0.000 3.266 0.000
0.000 0.000 5.060
Be Ir Se
2 1 1
Direct
0.000 0.000 0.000 Be
0.500 0.500 0.500 Be
0.000 0.000 0.500 Ir
0.500 0.500 0.000 Se
```

Calculated volume in Å³ per cell: 54.0
Raw total energy in eV/atom: -4.689

***

[11]
Density functional theory data (PBE) for a geometry-optimized BeSiIr2 structure.

Geometry as POSCAR:
```
BeSiIr2
1.0
3.672 0.000 0.000
-1.836 3.180 0.000
0.000 0.000 9.182
Be Si Ir
2 2 4
Direct
0.000 0.000 0.000 Be
0.000 0.000 0.500 Be
0.333 0.667 0.250 Si
0.667 0.333 0.750 Si
0.333 0.667 0.606 Ir
0.333 0.667 0.894 Ir
0.667 0.333 0.106 Ir
0.667 0.333 0.394 Ir
```

Calculated volume in Å³ per cell: 107.2
Energy above the most stable polymorph in this dataset in meV per atom: 335.2
Raw total energy in eV/atom: -7.040

***

[12]
Density functional theory data (PBE) for a geometry-optimized BeSiIr2 structure.

Geometry as POSCAR:
```
BeSiIr2
1.0
5.784 0.000 0.000
0.000 5.784 0.000
0.000 0.000 5.784
Be Si Ir
4 4 8
Direct
0.000 0.000 0.000 Be
0.000 0.500 0.500 Be
0.500 0.000 0.500 Be
0.500 0.500 0.000 Be
0.000 0.000 0.500 Si
0.000 0.500 0.000 Si
0.500 0.000 0.000 Si
0.500 0.500 0.500 Si
0.250 0.250 0.250 Ir
0.250 0.250 0.750 Ir
0.250 0.750 0.250 Ir
0.250 0.750 0.750 Ir
0.750 0.250 0.250 Ir
0.750 0.250 0.750 Ir
0.750 0.750 0.250 Ir
0.750 0.750 0.750 Ir
```

Calculated volume in Å³ per cell: 193.5
Energy above the most stable polymorph in this dataset in meV per atom: 0.0
Raw total energy in eV/atom: -7.375

***

[13]
Density functional theory data (PBE) for a geometry-optimized BeSiIr2 structure.

Geometry as POSCAR:
```
BeSiIr2
1.0
3.802 0.000 0.000
-1.901 3.293 0.000
0.000 0.000 8.984
Be Si Ir
2 2 4
Direct
0.333 0.667 0.250 Be
0.667 0.333 0.750 Be
0.000 0.000 0.000 Si
0.000 0.000 0.500 Si
0.333 0.667 0.610 Ir
0.333 0.667 0.890 Ir
0.667 0.333 0.110 Ir
0.667 0.333 0.390 Ir
```

Calculated volume in Å³ per cell: 112.5
Energy above the most stable polymorph in this dataset in meV per atom: 420.8
Raw total energy in eV/atom: -6.954

***

[14]
Density functional theory data (PBE) for a geometry-optimized BeSiIr2 structure.

Geometry as POSCAR:
```
BeSiIr2
1.0
4.090 0.000 0.000
0.000 12.271 0.000
0.000 0.000 5.783
Be Si Ir
6 6 12
Direct
0.000 0.000 0.000 Be
0.002 0.333 0.000 Be
0.498 0.833 0.500 Be
0.500 0.500 0.500 Be
0.502 0.167 0.500 Be
0.998 0.667 0.000 Be
0.000 0.000 0.500 Si
0.001 0.333 0.500 Si
0.499 0.833 0.000 Si
0.500 0.500 0.000 Si
0.501 0.167 0.000 Si
0.999 0.667 0.500 Si
0.000 0.500 0.250 Ir
0.000 0.500 0.750 Ir
0.001 0.167 0.250 Ir
0.001 0.167 0.750 Ir
0.499 0.667 0.250 Ir
0.499 0.667 0.750 Ir
0.500 0.000 0.250 Ir
0.500 0.000 0.750 Ir
0.501 0.333 0.250 Ir
0.501 0.333 0.750 Ir
0.999 0.833 0.250 Ir
0.999 0.833 0.750 Ir
```

Calculated volume in Å³ per cell: 290.2
Energy above the most stable polymorph in this dataset in meV per atom: 0.0
Raw total energy in eV/atom: -7.375

***

[15]
Density functional theory data (PBE) for a geometry-optimized BeSiIr2 structure.

Geometry as POSCAR:
```
BeSiIr2
1.0
3.714 0.000 0.000
-1.857 3.216 0.000
0.000 0.000 8.811
Be Si Ir
2 2 4
Direct
0.000 0.000 0.250 Be
0.000 0.000 0.750 Be
0.333 0.667 0.250 Si
0.667 0.333 0.750 Si
0.333 0.667 0.601 Ir
0.333 0.667 0.899 Ir
0.667 0.333 0.101 Ir
0.667 0.333 0.399 Ir
```

Calculated volume in Å³ per cell: 105.3
Energy above the most stable polymorph in this dataset in meV per atom: 563.0
Raw total energy in eV/atom: -6.812

***

[16]
Density functional theory data (PBE) for a geometry-optimized BeSiIr2 structure.

Geometry as POSCAR:
```
BeSiIr2
1.0
4.928 0.000 0.000
0.000 7.296 0.000
0.000 0.000 5.717
Be Si Ir
4 4 8
Direct
0.080 0.250 0.144 Be
0.420 0.750 0.644 Be
0.580 0.250 0.356 Be
0.920 0.750 0.856 Be
0.099 0.250 0.591 Si
0.401 0.750 0.091 Si
0.599 0.250 0.909 Si
0.901 0.750 0.409 Si
0.247 0.016 0.876 Ir
0.247 0.484 0.876 Ir
0.253 0.516 0.376 Ir
0.253 0.984 0.376 Ir
0.747 0.016 0.624 Ir
0.747 0.484 0.624 Ir
0.753 0.516 0.124 Ir
0.753 0.984 0.124 Ir
```

Calculated volume in Å³ per cell: 205.6
Energy above the most stable polymorph in this dataset in meV per atom: 194.2
Raw total energy in eV/atom: -7.181

***

[17]
Density functional theory data (PBE) for a geometry-optimized BeSiIr2 structure.

Geometry as POSCAR:
```
BeSiIr2
1.0
4.071 0.000 0.000
0.000 4.071 0.000
0.000 0.000 2.935
Be Si Ir
1 1 2
Direct
0.000 0.000 0.000 Be
0.500 0.500 0.000 Si
0.000 0.500 0.500 Ir
0.500 0.000 0.500 Ir
```

Calculated volume in Å³ per cell: 48.6
Energy above the most stable polymorph in this dataset in meV per atom: 37.5
Raw total energy in eV/atom: -7.338

***

[18]
Density functional theory data (PBE) for a geometry-optimized BeSiIr2 structure.

Geometry as POSCAR:
```
BeSiIr2
1.0
5.966 0.000 0.000
0.000 5.966 0.000
0.000 0.000 5.966
Be Si Ir
4 4 8
Direct
0.000 0.000 0.000 Be
0.000 0.500 0.500 Be
0.500 0.000 0.500 Be
0.500 0.500 0.000 Be
0.250 0.250 0.750 Si
0.250 0.750 0.250 Si
0.750 0.250 0.250 Si
0.750 0.750 0.750 Si
0.000 0.000 0.500 Ir
0.000 0.500 0.000 Ir
0.250 0.250 0.250 Ir
0.250 0.750 0.750 Ir
0.500 0.000 0.000 Ir
0.500 0.500 0.500 Ir
0.750 0.250 0.750 Ir
0.750 0.750 0.250 Ir
```

Calculated volume in Å³ per cell: 212.4
Energy above the most stable polymorph in this dataset in meV per atom: 794.1
Raw total energy in eV/atom: -6.581

***

[19]
Density functional theory data (PBE) for a geometry-optimized BeSiIr structure.

Geometry as POSCAR:
```
BeSiIr
1.0
5.472 0.000 0.000
0.000 5.472 0.000
0.000 0.000 5.472
Be Si Ir
4 4 4
Direct
0.000 0.000 0.000 Be
0.000 0.500 0.500 Be
0.500 0.000 0.500 Be
0.500 0.500 0.000 Be
0.250 0.250 0.250 Si
0.250 0.750 0.750 Si
0.750 0.250 0.750 Si
0.750 0.750 0.250 Si
0.000 0.000 0.500 Ir
0.000 0.500 0.000 Ir
0.500 0.000 0.000 Ir
0.500 0.500 0.500 Ir
```

Calculated volume in Å³ per cell: 163.8
Energy above the most stable polymorph in this dataset in meV per atom: 0.0
Raw total energy in eV/atom: -6.255

***

[20]
Density functional theory data (PBE) for a geometry-optimized SmBe3Ir2 structure.

Geometry as POSCAR:
```
SmBe3Ir2
1.0
4.471 -3.435 0.000
4.471 3.435 0.000
0.000 0.000 5.562
Sm Be Ir
2 6 4
Direct
0.171 0.829 0.750 Sm
0.829 0.171 0.250 Sm
0.033 0.596 0.250 Be
0.404 0.967 0.250 Be
0.418 0.582 0.250 Be
0.582 0.418 0.750 Be
0.596 0.033 0.750 Be
0.967 0.404 0.750 Be
0.302 0.302 0.000 Ir
0.302 0.302 0.500 Ir
0.698 0.698 0.000 Ir
0.698 0.698 0.500 Ir
```

Calculated volume in Å³ per cell: 170.9
Raw total energy in eV/atom: -6.210